(1)
The following is a GGA-PBE calculation of a geometry-optimized PrNdCdGe structure, from the Alexandria database.

Results
Total energy: -4.256 eV/atom
Calculated formation energy: -1.942 eV per formula unit

The structure in CIF format:
```
data_PrNdCdGe
_chemical_formula_sum 'Pr4 Nd4 Cd4 Ge4'
_symmetry_space_group_name_H-M 'F -4 3 m'
_symmetry_Int_Tables_number 216
_symmetry_space_group_name_Hall 'F -4 2 3'
_cell_length_a 7.534
_cell_length_b 7.534
_cell_length_c 7.534
_cell_angle_alpha 90.00
_cell_angle_beta 90.00
_cell_angle_gamma 90.00
loop_
_atom_site_label
_atom_site_type_symbol
_atom_site_fract_x
_atom_site_fract_y
_atom_site_fract_z
Pr1 Pr 0.000 0.000 0.000
Nd1 Nd 0.000 0.000 0.500
Cd1 Cd 0.250 0.250 0.250
Ge1 Ge 0.250 0.250 0.750
```

=====

(2)
The following is a GGA-PBE calculation of a geometry-optimized Nd2CdGe4Pt3 structure, from the Alexandria database.

Results
Total energy: -5.507 eV/atom
Calculated formation energy: -8.031 eV per formula unit

The structure in CIF format:
```
data_Nd2CdGe4Pt3
_chemical_formula_sum 'Nd2 Cd1 Ge4 Pt3'
_symmetry_space_group_name_H-M 'P -4 m 2'
_symmetry_Int_Tables_number 115
_symmetry_space_group_name_Hall 'P -4 -2'
_cell_length_a 4.338
_cell_length_b 4.338
_cell_length_c 10.654
_cell_angle_alpha 90.00
_cell_angle_beta 90.00
_cell_angle_gamma 90.00
loop_
_atom_site_label
_atom_site_type_symbol
_atom_site_fract_x
_atom_site_fract_y
_atom_site_fract_z
Nd1 Nd 0.000 0.500 0.245
Cd1 Cd 0.000 0.000 0.500
Ge1 Ge 0.000 0.000 0.000
Ge2 Ge 0.000 0.500 0.648
Ge3 Ge 0.500 0.500 0.000
Pt1 Pt 0.000 0.500 0.879
Pt2 Pt 0.500 0.500 0.500
```

=====

(3)
The following is a GGA-PBE calculation of a geometry-optimized Nd2CdGePt6 structure, from the Alexandria database.

Results
Total energy: -5.819 eV/atom
Calculated formation energy: -6.875 eV per formula unit

The structure in CIF format:
```
data_Nd2CdGePt6
_chemical_formula_sum 'Nd4 Cd2 Ge2 Pt12'
_symmetry_space_group_name_H-M 'C 1 2/m 1'
_symmetry_Int_Tables_number 12
_symmetry_space_group_name_Hall '-C 2y'
_cell_length_a 9.858
_cell_length_b 5.691
_cell_length_c 8.974
_cell_angle_alpha 90.00
_cell_angle_beta 111.39
_cell_angle_gamma 90.00
loop_
_atom_site_label
_atom_site_type_symbol
_atom_site_fract_x
_atom_site_fract_y
_atom_site_fract_z
Nd1 Nd 0.202 0.000 0.108
Cd1 Cd 0.000 0.000 0.500
Ge1 Ge 0.000 0.500 0.000
Pt1 Pt 0.012 0.244 0.778
Pt2 Pt 0.244 0.500 0.222
```

=====

(4)
The following is a GGA-PBE calculation of a geometry-optimized NdCd2GePt2 structure, from the Alexandria database.

Results
Total energy: -4.142 eV/atom
Calculated formation energy: -1.555 eV per formula unit

The structure in CIF format:
```
data_NdCd2GePt2
_chemical_formula_sum 'Nd2 Cd4 Ge2 Pt4'
_symmetry_space_group_name_H-M 'I 4/m m m'
_symmetry_Int_Tables_number 139
_symmetry_space_group_name_Hall '-I 4 2'
_cell_length_a 5.323
_cell_length_b 5.323
_cell_length_c 10.602
_cell_angle_alpha 90.00
_cell_angle_beta 90.00
_cell_angle_gamma 90.00
loop_
_atom_site_label
_atom_site_type_symbol
_atom_site_fract_x
_atom_site_fract_y
_atom_site_fract_z
Nd1 Nd 0.000 0.000 0.000
Cd1 Cd 0.000 0.500 0.250
Ge1 Ge 0.000 0.000 0.500
Pt1 Pt 0.000 0.000 0.277
```

=====

(5)
The following is a GGA-PBE calculation of a geometry-optimized NdCdGe2Pt2 structure, from the Alexandria database.

Results
Total energy: -5.174 eV/atom
Calculated formation energy: -4.047 eV per formula unit

The structure in CIF format:
```
data_NdCdGe2Pt2
_chemical_formula_sum 'Nd1 Cd1 Ge2 Pt2'
_symmetry_space_group_name_H-M 'P -3 m 1'
_symmetry_Int_Tables_number 164
_symmetry_space_group_name_Hall '-P 3 2"'
_cell_length_a 4.3720
_cell_length_b 4.3720
_cell_length_c 7.1784
_cell_angle_alpha 90.00
_cell_angle_beta 90.00
_cell_angle_gamma 120.00
loop_
_atom_site_label
_atom_site_type_symbol
_atom_site_fract_x
_atom_site_fract_y
_atom_site_fract_z
Nd1 Nd 0.0000 0.0000 0.0000
Cd1 Cd 0.0000 0.0000 0.5000
Ge1 Ge 0.3333 0.6667 0.7369
Pt1 Pt 0.3333 0.6667 0.3026
```

=====

(6)
The following is a GGA-PBE calculation of a geometry-optimized NdCdGe2Pt5 structure, from the Alexandria database.

Results
Total energy: -5.570 eV/atom
Calculated formation energy: -5.008 eV per formula unit

The structure in CIF format:
```
data_NdCdGe2Pt5
_chemical_formula_sum 'Nd1 Cd1 Ge2 Pt5'
_symmetry_space_group_name_H-M 'P 4/m m m'
_symmetry_Int_Tables_number 123
_symmetry_space_group_name_Hall '-P 4 2'
_cell_length_a 4.285
_cell_length_b 4.285
_cell_length_c 9.098
_cell_angle_alpha 90.00
_cell_angle_beta 90.00
_cell_angle_gamma 90.00
loop_
_atom_site_label
_atom_site_type_symbol
_atom_site_fract_x
_atom_site_fract_y
_atom_site_fract_z
Nd1 Nd 0.000 0.000 0.000
Cd1 Cd 0.000 0.000 0.500
Ge1 Ge 0.500 0.500 0.369
Pt1 Pt 0.000 0.500 0.234
Pt2 Pt 0.500 0.500 0.000
```

=====

(7)
The following is a GGA-PBE calculation of a geometry-optimized NdPuCdGe structure, from the Alexandria database.

Results
Total energy: -6.458 eV/atom
Calculated formation energy: -1.200 eV per formula unit

The structure in CIF format:
```
data_NdPuCdGe
_chemical_formula_sum 'Nd4 Pu4 Cd4 Ge4'
_symmetry_space_group_name_H-M 'F -4 3 m'
_symmetry_Int_Tables_number 216
_symmetry_space_group_name_Hall 'F -4 2 3'
_cell_length_a 7.447
_cell_length_b 7.447
_cell_length_c 7.447
_cell_angle_alpha 90.00
_cell_angle_beta 90.00
_cell_angle_gamma 90.00
loop_
_atom_site_label
_atom_site_type_symbol
_atom_site_fract_x
_atom_site_fract_y
_atom_site_fract_z
Nd1 Nd 0.000 0.000 0.000
Pu1 Pu 0.000 0.000 0.500
Cd1 Cd 0.250 0.250 0.750
Ge1 Ge 0.250 0.250 0.250
```

=====

(8)
The following is a GGA-PBE calculation of a geometry-optimized Nd2CdGe3Rh4 structure, from the Alexandria database.

Results
Total energy: -6.114 eV/atom
Calculated formation energy: -7.427 eV per formula unit

The structure in CIF format:
```
data_Nd2CdGe3Rh4
_chemical_formula_sum 'Nd2 Cd1 Ge3 Rh4'
_symmetry_space_group_name_H-M 'P -4 m 2'
_symmetry_Int_Tables_number 115
_symmetry_space_group_name_Hall 'P -4 -2'
_cell_length_a 4.235
_cell_length_b 4.235
_cell_length_c 10.671
_cell_angle_alpha 90.00
_cell_angle_beta 90.00
_cell_angle_gamma 90.00
loop_
_atom_site_label
_atom_site_type_symbol
_atom_site_fract_x
_atom_site_fract_y
_atom_site_fract_z
Nd1 Nd 0.000 0.500 0.245
Cd1 Cd 0.000 0.000 0.500
Ge1 Ge 0.000 0.500 0.877
Ge2 Ge 0.500 0.500 0.500
Rh1 Rh 0.000 0.000 0.000
Rh2 Rh 0.000 0.500 0.649
Rh3 Rh 0.500 0.500 0.000
```